GeMoF2 | PBE with a Hubbard U | optimized geometry

Lattice parameters (Å, degrees): 4.255 4.255 4.255 60.00 60.00 60.00
Fractional coordinates of all 4 atoms:
Ge (0.000, 0.000, 0.000)
Mo (0.500, 0.500, 0.500)
F (0.250, 0.250, 0.250)
F (0.750, 0.750, 0.750)

Computed properties:
As for the space group: Fm-3m, No. 225. For the density of states at the Fermi level, the calculation gives 0.55 states/eV/atom. As for the energy above the most stable polymorph in this dataset: 2.82 eV per formula unit.